Computed, not measured: an optimized crystal structure of HoFe3Co at the PBE-GGA level of DFT.

Lattice parameters (Å, degrees): 3.451 4.998 4.998 121.53 90.00 90.00
Each line ends with the local moment (μB).
Element x y z (fractional)
Fe  0.500  0.615  0.920  1.34
Fe  0.500  0.080  0.385  1.34
Ho  0.000  0.590  0.410  -0.25
Fe  0.000  0.260  0.740  0.35
Co  0.500  0.083  0.917  0.60

Output
- Mass density: 8.848 g cm⁻³
- ΔE_f: 98 kJ/mol of formula units

***

Computed, not measured: an optimized crystal structure of Ho3Fe2Co7 at the PBE-GGA level of DFT.

Lattice parameters (Å, degrees): 5.048 5.048 8.442 72.60 72.60 60.00
Each line ends with the local moment (μB).
Element x y z (fractional)
Ho  0.859  0.859  0.422  -0.39
Ho  0.141  0.141  0.578  -0.39
Co  0.500  0.500  0.500  1.37
Ho  0.000  0.000  0.000  -0.34
Co  0.417  0.417  0.246  1.27
Fe  0.666  0.666  0.003  2.52
Co  0.583  0.583  0.754  1.27
Co  0.079  0.583  0.754  1.27
Co  0.921  0.417  0.246  1.27
Co  0.583  0.079  0.754  1.27
Fe  0.334  0.334  0.997  2.52
Co  0.417  0.921  0.246  1.27

Output
- Mass density: 9.677 g cm⁻³
- ΔE_f: -227 kJ/mol of formula units

***

Computed, not measured: an optimized crystal structure of HoLuFeCo at the PBE-GGA level of DFT.

Lattice parameters (Å, degrees): 4.635 4.635 4.635 60.00 60.00 60.00
Each line ends with the local moment (μB).
Element x y z (fractional)
Co  0.500  0.500  0.500  0.07
Ho  0.750  0.750  0.750  -0.08
Lu  0.250  0.250  0.250  -0.08
Fe  0.000  0.000  0.000  0.47

Output
- Mass density: 10.720 g cm⁻³
- ΔE_f: -7 kJ/mol of formula units

***

Computed, not measured: an optimized crystal structure of Ho2MnFe2Co5 at the PBE-GGA level of DFT.

Lattice parameters (Å, degrees): 3.318 9.367 9.367 90.00 90.00 90.00
Each line ends with the local moment (μB).
Element x y z (fractional)
Fe  0.000  0.622  0.878  2.44
Fe  0.000  0.878  0.378  2.44
Co  0.500  0.560  0.704  1.35
Ho  0.000  0.322  0.822  -0.42
Co  0.500  0.060  0.796  1.35
Ho  0.000  0.822  0.678  -0.42
Fe  0.000  0.122  0.622  2.44
Co  0.500  0.296  0.560  1.35
Co  0.500  0.440  0.296  1.35
Mn  0.000  0.000  0.000  3.27
Co  0.500  0.940  0.204  1.35
Co  0.500  0.796  0.940  1.35
Co  0.500  0.204  0.060  1.35
Co  0.500  0.704  0.440  1.35
Mn  0.000  0.500  0.500  3.27
Ho  0.000  0.678  0.178  -0.42
Co  0.500  0.500  0.000  1.28
Co  0.500  0.000  0.500  1.28
Fe  0.000  0.378  0.122  2.44
Ho  0.000  0.178  0.322  -0.42

Output
- Mass density: 9.026 g cm⁻³
- ΔE_f: 17 kJ/mol of formula units

***

- The highest ΔE_f belongs to which entry?
  HoFe3Co